Below is a relaxed BaCrAsF2 crystal, with properties calculated at the PBE with a Hubbard U level.

## Properties
VASP energy	-0.18329	hartree per atom
density	3.5	g/cm³
symmetry	No. 123

abc: 4.190 4.190 8.280
angles: 90.00 90.00 90.00
Element x y z (fractional)
Ba (0.000, 0.000, 0.000)
Cr (0.000, 0.000, 0.500)
As (0.500, 0.500, 0.000)
F (0.000, 0.500, 0.500)
F (0.500, 0.000, 0.500)